No. 1
Material: LiVIn3
Method: DFT, PBE
State: relaxed

```
LiVIn3
1.0
4.8660 0.0000 0.0000
0.0000 4.8660 0.0000
0.0000 0.0000 4.8660
Li V In
1 1 3
Direct
0.0000 0.0000 0.0000
0.5000 0.5000 0.5000
0.0000 0.0000 0.5000
0.0000 0.5000 0.0000
0.5000 0.0000 0.0000
```

- Polymorph energy (0 for the lowest one): 23.14 kJ/mol of atoms
- Calculated formation energy: 13.9 kcal/mol of atoms
- Total magnetization: 0.656 μB per atom
- Space-group type: Pm-3m, No. 221
- ρ: 5.80 g/cm³


No. 2
Material: LiVIn3
Method: DFT, PBE
State: relaxed

```
LiVIn3
1.0
5.2018 0.0000 0.0000
0.0000 5.2018 0.0000
0.0000 0.0000 5.2018
Li V In
1 1 3
Direct
0.0000 0.0000 0.0000
0.5000 0.5000 0.5000
0.0000 0.5000 0.5000
0.5000 0.0000 0.5000
0.5000 0.5000 0.0000
```

- Polymorph energy (0 for the lowest one): 0.00 kJ/mol of atoms
- Calculated formation energy: 8.4 kcal/mol of atoms
- Total magnetization: 0.000 μB per atom
- Space-group type: Pm-3m, No. 221
- ρ: 4.75 g/cm³